1.
HoAgHg | PBE | relaxed

Values from the calculation:
- energy (eV for the cell shown) = -8.74
- formation energy from the elements (eV/atom) = -0.336
- SG = No. 107
- spin magnetization (μB per formula unit) = 0.0

Unit cell a=3.810 b=3.810 c=5.425 alpha=110.56 beta=110.56 gamma=90.00
Fractional positions:
Hg (0.620, 0.620, 0.240)
Ag (0.281, 0.281, 0.562)
Ho (0.949, 0.949, 0.898)



2.
Pd | PBE | relaxed

Values from the calculation:
- energy (eV for the cell shown) = -64.11
- formation energy from the elements (eV/atom) = 1.186
- SG = No. 229
- excess energy over the best structure of this formula in the dataset (meV per atom) = 1186
- spin magnetization (μB per formula unit) = 0.0

Unit cell a=7.924 b=7.924 c=7.924 alpha=90.00 beta=90.00 gamma=90.00
Fractional positions:
Pd (0.160, 0.160, 0.160)
Pd (0.160, 0.840, 0.840)
Pd (0.840, 0.160, 0.840)
Pd (0.840, 0.840, 0.160)
Pd (0.840, 0.840, 0.840)
Pd (0.840, 0.160, 0.160)
Pd (0.160, 0.840, 0.160)
Pd (0.160, 0.160, 0.840)
Pd (0.660, 0.660, 0.660)
Pd (0.660, 0.340, 0.340)
Pd (0.340, 0.660, 0.340)
Pd (0.340, 0.340, 0.660)
Pd (0.340, 0.340, 0.340)
Pd (0.340, 0.660, 0.660)
Pd (0.660, 0.340, 0.660)
Pd (0.660, 0.660, 0.340)



3.
Y2ScZnC | PBE | relaxed

Values from the calculation:
- energy (eV for the cell shown) = -31.40
- formation energy from the elements (eV/atom) = -0.329
- SG = No. 123
- spin magnetization (μB per formula unit) = 0.0

Unit cell a=4.954 b=4.954 c=4.421 alpha=90.00 beta=90.00 gamma=90.00
Fractional positions:
Y (0.000, 0.500, 0.000)
Y (0.500, 0.000, 0.000)
Sc (0.000, 0.000, 0.500)
Zn (0.500, 0.500, 0.500)
C (0.000, 0.000, 0.000)



4.
Y3GeMo | PBE | relaxed

Values from the calculation:
- energy (eV for the cell shown) = -32.63
- formation energy from the elements (eV/atom) = 0.443
- SG = No. 221
- excess energy over the best structure of this formula in the dataset (meV per atom) = 0
- spin magnetization (μB per formula unit) = 0.0

Unit cell a=5.295 b=5.295 c=5.295 alpha=90.00 beta=90.00 gamma=90.00
Fractional positions:
Y (0.000, 0.500, 0.000)
Y (0.000, 0.000, 0.500)
Y (0.500, 0.000, 0.000)
Mo (0.000, 0.000, 0.000)
Ge (0.500, 0.500, 0.500)